Record 1
# La2BeMo

La2BeMo after structural relaxation (GGA-PBE, Alexandria via LeMat-Bulk).

Raw total energy = -23.33 eV for the cell shown
Energy of formation = 0.271 eV/atom

abc: 4.2037 4.2880 5.9216
angles: 68.89 90.00 90.00
With the nearest neighbours (Å) after each atom.
Positions (direct):
1 Be 0.5000 0.5732 0.7293  2 Mo 2.39
2 Mo 0.0000 0.6757 0.5233  2 Be 2.39
3 La 0.0000 0.9856 0.9043  2 Mo 3.00-3.01, 4 Be 3.15-3.16
4 La 0.5000 0.2655 0.3430  2 Be 3.02-3.03, 4 Mo 3.16

***

Record 2
# LaBeMo2

LaBeMo2 after structural relaxation (GGA-PBE, Alexandria via LeMat-Bulk).

Raw total energy = -27.08 eV for the cell shown
Energy of formation = 0.809 eV/atom

abc: 9.6644 9.6644 9.6644
angles: 17.41 17.41 17.41
With the nearest neighbours (Å) after each atom.
Positions (direct):
1 Mo 0.9826 0.9826 0.9826  3 Be 2.53
2 Be 0.2500 0.2500 0.2500  6 Mo 2.53
3 La 0.7500 0.7500 0.7500  6 La 2.93
4 Mo 0.5174 0.5174 0.5174  3 Be 2.53

***

Record 3
# La2BeMo

La2BeMo after structural relaxation (GGA-PBE, Alexandria via LeMat-Bulk).

Raw total energy = -22.26 eV for the cell shown
Energy of formation = 0.538 eV/atom

abc: 5.4548 5.4548 5.4548
angles: 131.86 131.86 70.45
With the nearest neighbours (Å) after each atom.
Positions (direct):
1 La 0.2500 0.7500 0.5000  4 Be 3.15, 4 La 3.15, 4 Mo 3.15
2 La 0.0000 0.0000 0.0000  4 Mo 3.15, 4 La 3.15, 4 Be 3.15
3 Mo 0.5000 0.5000 0.0000  8 La 3.15, 4 Be 3.15
4 Be 0.7500 0.2500 0.5000  8 La 3.15, 4 Mo 3.15

***

Record 4
# LaBeMo2

LaBeMo2 after structural relaxation (GGA-PBE, Alexandria via LeMat-Bulk).

Raw total energy = -27.50 eV for the cell shown
Energy of formation = 0.704 eV/atom

abc: 3.3309 4.6298 4.6594
angles: 90.00 90.00 90.00
With the nearest neighbours (Å) after each atom.
Positions (direct):
1 Mo 0.0000 0.0000 0.0000  4 Mo 2.85, 4 Be 2.86
2 Be 0.5000 0.0000 0.5000  4 La 2.85, 4 Mo 2.86
3 La 0.0000 0.5000 0.5000  4 Be 2.85, 4 Mo 2.86
4 Mo 0.5000 0.5000 0.0000  4 Mo 2.85, 4 La 2.86

***

Question: Look up the energy of formation of the fourth one.
Answer: 0.704 eV/atom

***

Question: Among the records above, which one has the highest energy of formation?
Answer: number 2

***

Copy entry 4 word for word.
# LaBeMo2

LaBeMo2 after structural relaxation (GGA-PBE, Alexandria via LeMat-Bulk).

Raw total energy = -27.50 eV for the cell shown
Energy of formation = 0.704 eV/atom

abc: 3.3309 4.6298 4.6594
angles: 90.00 90.00 90.00
With the nearest neighbours (Å) after each atom.
Positions (direct):
1 Mo 0.0000 0.0000 0.0000  4 Mo 2.85, 4 Be 2.86
2 Be 0.5000 0.0000 0.5000  4 La 2.85, 4 Mo 2.86
3 La 0.0000 0.5000 0.5000  4 Be 2.85, 4 Mo 2.86
4 Mo 0.5000 0.5000 0.0000  4 Mo 2.85, 4 La 2.86

***

Repeat the second record exactly.
# LaBeMo2

LaBeMo2 after structural relaxation (GGA-PBE, Alexandria via LeMat-Bulk).

Raw total energy = -27.08 eV for the cell shown
Energy of formation = 0.809 eV/atom

abc: 9.6644 9.6644 9.6644
angles: 17.41 17.41 17.41
With the nearest neighbours (Å) after each atom.
Positions (direct):
1 Mo 0.9826 0.9826 0.9826  3 Be 2.53
2 Be 0.2500 0.2500 0.2500  6 Mo 2.53
3 La 0.7500 0.7500 0.7500  6 La 2.93
4 Mo 0.5174 0.5174 0.5174  3 Be 2.53